(1)
Density functional theory data (PBE-GGA) for a relaxed Zr5PdRu crystal.

The density of states at the Fermi level is 12.32 states/eV/cell. The volume comes out at 21.46 A^3/atom. The value obtained for the total DFT energy (no corrections) is -8.2471 eV per atom. Its space group is C2/c, No. 15. The calculated formation energy comes out at -0.074 eV/atom.

```
14
Lattice="-5.6035 -1.4139 0.8570 -3.0892 -2.4105 -4.3335 -1.5006 -11.1333 1.4108" Properties=species:S:1:pos:R:3 pbc="T T T"
Zr -3.3393 -1.4038 -0.7174
Zr -2.8970 -4.2177 0.5090
Zr -6.5842 -7.7967 -1.0618
Zr -6.8541 -13.5538 -1.3482
Zr -3.6091 -7.1609 -1.0039
Zr -4.3483 -10.7075 -2.9995
Zr -7.2963 -10.7400 -2.5746
Zr -7.3860 -4.8404 -1.5459
Zr -5.8450 -4.2502 0.9338
Zr -2.8073 -10.1173 -0.5197
Ru 0.0000 0.0000 0.0000
Ru -0.7503 -5.5667 0.7054
Pd -4.5636 -4.7581 -1.7117
Pd -5.6298 -10.1996 -0.3540
```

=====

(2)
Density functional theory data (PBE-GGA) for a relaxed Zr2PdRu2 crystal.

The density of states at the Fermi level is 4.22 states/eV/cell. The volume comes out at 17.85 A^3/atom. The energy above the lowest structure with this stoichiometry is 0.00 eV/f.u. The value obtained for the total DFT energy (no corrections) is -8.5465 eV per atom. Its space group is P4/mbm, No. 127. The calculated formation energy comes out at -0.378 eV/atom.

```
10
Lattice="-4.3524 5.3411 -2.3781 -3.9238 -0.4706 6.1244 1.9985 2.2766 1.4554" Properties=species:S:1:pos:R:3 pbc="T T T"
Ru -3.2669 3.3124 -0.6954
Ru -6.2578 4.3399 1.8046
Ru -5.0093 1.5581 4.4417
Ru -2.0184 0.5306 1.9417
Pd 0.0000 0.0000 0.0000
Pd -4.1381 2.4353 1.8732
Zr -5.1742 4.3344 4.2057
Zr -3.8964 5.4093 0.7696
Zr -1.1035 2.8127 0.9960
Zr -2.3812 1.7378 4.4320
```

=====

(3)
Density functional theory data (PBE-GGA) for a relaxed Zr2PdRu crystal.

The density of states at the Fermi level is 6.38 states/eV/cell. The volume comes out at 19.36 A^3/atom. The value obtained for the total DFT energy (no corrections) is -8.0509 eV per atom. Its space group is I-42d, No. 122. The calculated formation energy comes out at -0.160 eV/atom.

```
8
Lattice="-6.2499 2.8051 -2.4040 -3.6943 -4.7495 4.0625 -4.9734 0.9379 3.0612" Properties=species:S:1:pos:R:3 pbc="T T T"
Zr -5.5374 1.3608 -0.2010
Zr -4.4075 -2.3501 2.9754
Zr -7.5028 -0.0819 2.9659
Zr -12.3875 -0.9417 3.6990
Ru -6.8199 -2.3919 3.9765
Ru -4.9721 -0.9722 0.8292
Pd -8.0977 1.3854 0.7432
Pd 0.0000 0.0000 0.0000
```

=====

(4)
Density functional theory data (PBE-GGA) for a relaxed Zr5PdRu4 crystal.

The density of states at the Fermi level is 4.67 states/eV/cell. The volume comes out at 17.88 A^3/atom. The value obtained for the total DFT energy (no corrections) is -9.1324 eV per atom. Its space group is P4/mmm, No. 123. The calculated formation energy comes out at -0.629 eV/atom.

```
10
Lattice="3.2441 0.0000 0.0000 0.0000 3.2441 0.0000 0.0000 0.0000 16.9866" Properties=species:S:1:pos:R:3 pbc="T T T"
Zr 1.6220 1.6220 8.4933
Zr 1.6220 1.6220 1.8413
Zr 1.6220 1.6220 5.1729
Zr 1.6220 1.6220 15.1453
Zr 1.6220 1.6220 11.8137
Ru 0.0000 0.0000 3.5075
Ru 0.0000 0.0000 6.8353
Ru 0.0000 0.0000 13.4791
Ru 0.0000 0.0000 10.1513
Pd 0.0000 0.0000 0.0000
```